No. 1
A plane-wave DFT calculation with PBE was carried out for an optimized crystal structure of AcTmPd2.

Values from the calculation:
The calculation puts the total magnetization at 0.000 μB/cell. The value obtained for the formation energy is -682 meV/atom. The calculation puts the energy above the most stable polymorph in this dataset at 13.5 kJ per mole of atoms. The value obtained for the volume is 323.22 Å³ per cell.

Cell and atoms, written as CIF:
```
data_AcTmPd2
_cell_length_a 4.1790
_cell_length_b 4.1790
_cell_length_c 21.3711
_cell_angle_alpha 90.00
_cell_angle_beta 90.00
_cell_angle_gamma 120.00
_symmetry_space_group_name_H-M 'R 3 m'
_symmetry_Int_Tables_number 160
_symmetry_space_group_name_Hall 'R 3 -2"'
loop_
_atom_site_label
_atom_site_type_symbol
_atom_site_fract_x
_atom_site_fract_y
_atom_site_fract_z
Ac1 Ac 0.0000 0.0000 0.0000
Tm1 Tm 0.0000 0.0000 0.1739
Pd1 Pd 0.0000 0.0000 0.5769
Pd2 Pd 0.0000 0.0000 0.7642
```


No. 2
A plane-wave DFT calculation with PBE was carried out for an optimized crystal structure of AcTmPd.

Values from the calculation:
The calculation puts the total magnetization at 0.000 μB/cell. The value obtained for the formation energy is -501 meV/atom. The calculation puts the energy above the most stable polymorph in this dataset at 7.1 kJ per mole of atoms. The value obtained for the volume is 173.14 Å³ per cell.

Cell and atoms, written as CIF:
```
data_AcTmPd
_cell_length_a 3.683
_cell_length_b 3.683
_cell_length_c 12.767
_cell_angle_alpha 90.00
_cell_angle_beta 90.00
_cell_angle_gamma 90.00
_symmetry_space_group_name_H-M 'I 4 m m'
_symmetry_Int_Tables_number 107
_symmetry_space_group_name_Hall 'I 4 -2'
loop_
_atom_site_label
_atom_site_type_symbol
_atom_site_fract_x
_atom_site_fract_y
_atom_site_fract_z
Ac1 Ac 0.000 0.000 0.000
Tm1 Tm 0.000 0.000 0.273
Pd1 Pd 0.000 0.000 0.668
```


No. 3
A plane-wave DFT calculation with PBE was carried out for an optimized crystal structure of AcTmPd2.

Values from the calculation:
The calculation puts the total magnetization at 0.000 μB/cell. The value obtained for the formation energy is -737 meV/atom. The calculation puts the energy above the most stable polymorph in this dataset at 8.2 kJ per mole of atoms. The value obtained for the volume is 390.09 Å³ per cell.

Cell and atoms, written as CIF:
```
data_AcTmPd2
_cell_length_a 7.307
_cell_length_b 7.307
_cell_length_c 7.307
_cell_angle_alpha 90.00
_cell_angle_beta 90.00
_cell_angle_gamma 90.00
_symmetry_space_group_name_H-M 'F m -3 m'
_symmetry_Int_Tables_number 225
_symmetry_space_group_name_Hall '-F 4 2 3'
loop_
_atom_site_label
_atom_site_type_symbol
_atom_site_fract_x
_atom_site_fract_y
_atom_site_fract_z
Ac1 Ac 0.000 0.000 0.000
Tm1 Tm 0.000 0.000 0.500
Pd1 Pd 0.250 0.250 0.250
```


No. 4
A plane-wave DFT calculation with PBE was carried out for an optimized crystal structure of AcTmPd4.

Values from the calculation:
The calculation puts the total magnetization at 0.000 μB/cell. The value obtained for the formation energy is -766 meV/atom. The calculation puts the energy above the most stable polymorph in this dataset at 8.1 kJ per mole of atoms. The value obtained for the volume is 483.96 Å³ per cell.

Cell and atoms, written as CIF:
```
data_AcTmPd4
_cell_length_a 7.851
_cell_length_b 7.851
_cell_length_c 7.851
_cell_angle_alpha 90.00
_cell_angle_beta 90.00
_cell_angle_gamma 90.00
_symmetry_space_group_name_H-M 'F -4 3 m'
_symmetry_Int_Tables_number 216
_symmetry_space_group_name_Hall 'F -4 2 3'
loop_
_atom_site_label
_atom_site_type_symbol
_atom_site_fract_x
_atom_site_fract_y
_atom_site_fract_z
Ac1 Ac 0.000 0.000 0.000
Tm1 Tm 0.250 0.250 0.250
Pd1 Pd 0.124 0.124 0.624
```


No. 5
A plane-wave DFT calculation with PBE was carried out for an optimized crystal structure of AcTmPd.

Values from the calculation:
The calculation puts the total magnetization at 0.000 μB/cell. The value obtained for the formation energy is -575 meV/atom. The calculation puts the energy above the most stable polymorph in this dataset at 0.0 kJ per mole of atoms. The value obtained for the volume is 354.57 Å³ per cell.

Cell and atoms, written as CIF:
```
data_AcTmPd
_cell_length_a 7.397
_cell_length_b 6.517
_cell_length_c 7.729
_cell_angle_alpha 90.00
_cell_angle_beta 107.88
_cell_angle_gamma 90.00
_symmetry_space_group_name_H-M 'P 1 21/c 1'
_symmetry_Int_Tables_number 14
_symmetry_space_group_name_Hall '-P 2ybc'
loop_
_atom_site_label
_atom_site_type_symbol
_atom_site_fract_x
_atom_site_fract_y
_atom_site_fract_z
Ac1 Ac 0.145 0.133 0.363
Tm1 Tm 0.422 0.652 0.299
Pd1 Pd 0.195 0.594 0.524
```


No. 6
A plane-wave DFT calculation with PBE was carried out for an optimized crystal structure of Ac3TmPd12.

Values from the calculation:
The calculation puts the total magnetization at 0.000 μB/cell. The value obtained for the formation energy is -769 meV/atom. The value obtained for the volume is 309.63 Å³ per cell.

Cell and atoms, written as CIF:
```
data_Ac3TmPd12
_cell_length_a 4.266
_cell_length_b 4.266
_cell_length_c 17.012
_cell_angle_alpha 90.00
_cell_angle_beta 90.00
_cell_angle_gamma 90.00
_symmetry_space_group_name_H-M 'P 4/m m m'
_symmetry_Int_Tables_number 123
_symmetry_space_group_name_Hall '-P 4 2'
loop_
_atom_site_label
_atom_site_type_symbol
_atom_site_fract_x
_atom_site_fract_y
_atom_site_fract_z
Ac1 Ac 0.000 0.000 0.000
Ac2 Ac 0.000 0.000 0.258
Tm1 Tm 0.000 0.000 0.500
Pd1 Pd 0.000 0.500 0.128
Pd2 Pd 0.000 0.500 0.386
Pd3 Pd 0.500 0.500 0.000
Pd4 Pd 0.500 0.500 0.256
Pd5 Pd 0.500 0.500 0.500
```


No. 7
A plane-wave DFT calculation with PBE was carried out for an optimized crystal structure of AcTmPd2.

Values from the calculation:
The calculation puts the total magnetization at 0.000 μB/cell. The value obtained for the formation energy is -791 meV/atom. The calculation puts the energy above the most stable polymorph in this dataset at 3.0 kJ per mole of atoms. The value obtained for the volume is 95.75 Å³ per cell.

Cell and atoms, written as CIF:
```
data_AcTmPd2
_cell_length_a 3.623
_cell_length_b 3.623
_cell_length_c 7.295
_cell_angle_alpha 90.00
_cell_angle_beta 90.00
_cell_angle_gamma 90.00
_symmetry_space_group_name_H-M 'P 4/m m m'
_symmetry_Int_Tables_number 123
_symmetry_space_group_name_Hall '-P 4 2'
loop_
_atom_site_label
_atom_site_type_symbol
_atom_site_fract_x
_atom_site_fract_y
_atom_site_fract_z
Ac1 Ac 0.000 0.000 0.000
Tm1 Tm 0.000 0.000 0.500
Pd1 Pd 0.500 0.500 0.289
```


No. 8
A plane-wave DFT calculation with PBE was carried out for an optimized crystal structure of AcTmPd.

Values from the calculation:
The calculation puts the total magnetization at 0.000 μB/cell. The value obtained for the formation energy is -402 meV/atom. The calculation puts the energy above the most stable polymorph in this dataset at 16.7 kJ per mole of atoms. The value obtained for the volume is 90.49 Å³ per cell.

Cell and atoms, written as CIF:
```
data_AcTmPd
_cell_length_a 4.7569
_cell_length_b 4.7569
_cell_length_c 4.6176
_cell_angle_alpha 90.00
_cell_angle_beta 90.00
_cell_angle_gamma 120.00
_symmetry_space_group_name_H-M 'P 3 m 1'
_symmetry_Int_Tables_number 156
_symmetry_space_group_name_Hall 'P 3 -2"'
loop_
_atom_site_label
_atom_site_type_symbol
_atom_site_fract_x
_atom_site_fract_y
_atom_site_fract_z
Ac1 Ac 0.0000 0.0000 0.0000
Tm1 Tm 0.3333 0.6667 0.4992
Pd1 Pd 0.6667 0.3333 0.5949
```


No. 9
A plane-wave DFT calculation with PBE was carried out for an optimized crystal structure of AcTmPd.

Values from the calculation:
The calculation puts the total magnetization at 0.000 μB/cell. The value obtained for the formation energy is -383 meV/atom. The calculation puts the energy above the most stable polymorph in this dataset at 18.5 kJ per mole of atoms. The value obtained for the volume is 377.12 Å³ per cell.

Cell and atoms, written as CIF:
```
data_AcTmPd
_cell_length_a 7.225
_cell_length_b 7.225
_cell_length_c 7.225
_cell_angle_alpha 90.00
_cell_angle_beta 90.00
_cell_angle_gamma 90.00
_symmetry_space_group_name_H-M 'F -4 3 m'
_symmetry_Int_Tables_number 216
_symmetry_space_group_name_Hall 'F -4 2 3'
loop_
_atom_site_label
_atom_site_type_symbol
_atom_site_fract_x
_atom_site_fract_y
_atom_site_fract_z
Ac1 Ac 0.000 0.000 0.000
Tm1 Tm 0.000 0.000 0.500
Pd1 Pd 0.250 0.250 0.250
```


No. 10
A plane-wave DFT calculation with PBE was carried out for an optimized crystal structure of AcTmPd2.

Values from the calculation:
The calculation puts the total magnetization at 0.000 μB/cell. The value obtained for the formation energy is -822 meV/atom. The calculation puts the energy above the most stable polymorph in this dataset at 0.0 kJ per mole of atoms. The value obtained for the volume is 201.57 Å³ per cell.

Cell and atoms, written as CIF:
```
data_AcTmPd2
_cell_length_a 6.121
_cell_length_b 4.747
_cell_length_c 7.581
_cell_angle_alpha 90.00
_cell_angle_beta 113.78
_cell_angle_gamma 90.00
_symmetry_space_group_name_H-M 'P 1 21/m 1'
_symmetry_Int_Tables_number 11
_symmetry_space_group_name_Hall '-P 2yb'
loop_
_atom_site_label
_atom_site_type_symbol
_atom_site_fract_x
_atom_site_fract_y
_atom_site_fract_z
Ac1 Ac 0.211 0.250 0.384
Tm1 Tm 0.281 0.250 0.910
Pd1 Pd 0.198 0.750 0.087
Pd2 Pd 0.339 0.750 0.713
```


No. 11
A plane-wave DFT calculation with PBE was carried out for an optimized crystal structure of AcTmPd2.

Values from the calculation:
The calculation puts the total magnetization at 0.000 μB/cell. The value obtained for the formation energy is -805 meV/atom. The calculation puts the energy above the most stable polymorph in this dataset at 1.6 kJ per mole of atoms. The value obtained for the volume is 307.52 Å³ per cell.

Cell and atoms, written as CIF:
```
data_AcTmPd2
_cell_length_a 4.7529
_cell_length_b 4.7529
_cell_length_c 15.7189
_cell_angle_alpha 90.00
_cell_angle_beta 90.00
_cell_angle_gamma 120.00
_symmetry_space_group_name_H-M 'R -3 m'
_symmetry_Int_Tables_number 166
_symmetry_space_group_name_Hall '-R 3 2"'
loop_
_atom_site_label
_atom_site_type_symbol
_atom_site_fract_x
_atom_site_fract_y
_atom_site_fract_z
Ac1 Ac 0.0000 0.0000 0.0000
Tm1 Tm 0.0000 0.0000 0.5000
Pd1 Pd 0.0000 0.0000 0.2170
```


No. 12
A plane-wave DFT calculation with PBE was carried out for an optimized crystal structure of AcTm2Pd9.

Values from the calculation:
The calculation puts the total magnetization at 0.000 μB/cell. The value obtained for the formation energy is -838 meV/atom. The value obtained for the volume is 217.58 Å³ per cell.

Cell and atoms, written as CIF:
```
data_AcTm2Pd9
_cell_length_a 4.197
_cell_length_b 4.197
_cell_length_c 12.350
_cell_angle_alpha 90.00
_cell_angle_beta 90.00
_cell_angle_gamma 90.00
_symmetry_space_group_name_H-M 'P 4/m m m'
_symmetry_Int_Tables_number 123
_symmetry_space_group_name_Hall '-P 4 2'
loop_
_atom_site_label
_atom_site_type_symbol
_atom_site_fract_x
_atom_site_fract_y
_atom_site_fract_z
Ac1 Ac 0.000 0.000 0.000
Tm1 Tm 0.000 0.000 0.341
Pd1 Pd 0.000 0.500 0.180
Pd2 Pd 0.000 0.500 0.500
Pd3 Pd 0.500 0.500 0.000
Pd4 Pd 0.500 0.500 0.339
```